# LiAc2MgIn6, optimized geometry, DFT PBE
# E_tot (eV/atom): -2.9630
# DFT formation energy (meV per atom): -147.4
# V (Å³/f.u.): 287.7
data_LiAc2MgIn6
_chemical_formula_sum 'Li2 Ac4 Mg2 In12'
_cell_length_a 10.422
_cell_length_b 10.548
_cell_length_c 7.094
_cell_angle_alpha 90.00
_cell_angle_beta 132.45
_cell_angle_gamma 90.00
_symmetry_space_group_name_H-M 'C 1 2/m 1'
_symmetry_Int_Tables_number 12
_symmetry_space_group_name_Hall '-C 2y'
loop_
_atom_site_label
_atom_site_type_symbol
_atom_site_fract_x
_atom_site_fract_y
_atom_site_fract_z
Li1 Li 0.000 0.000 0.000
Ac1 Ac 0.000 0.282 0.500
Mg1 Mg 0.000 0.500 0.000
In1 In 0.000 0.237 0.000
In2 In 0.207 0.000 0.934
In3 In 0.212 0.000 0.480